The following is a DFT calculation (PBE) of a geometry-optimized Ac5La3Pm2 structure.

a = 10.9891 Å, b = 10.9891 Å, c = 9.5015 Å
α = 109.81°, β = 109.81°, γ = 114.37°
Element x y z (fractional)
Ac 0.0274 0.9726 0.7500
Ac 0.1344 0.3665 0.7556
Ac 0.2247 0.7753 0.7500
Ac 0.2756 0.7244 0.2500
Ac 0.3665 0.1344 0.2556
Ac 0.6335 0.8656 0.7444
Ac 0.7244 0.2756 0.7500
Ac 0.7753 0.2247 0.2500
Ac 0.8656 0.6335 0.2444
Ac 0.9726 0.0274 0.2500
La 0.0325 0.2785 0.0611
La 0.2785 0.0325 0.5611
La 0.4651 0.5349 0.2500
La 0.5349 0.4651 0.7500
La 0.7215 0.9675 0.4389
La 0.9675 0.7215 0.9389
Pm 0.2494 0.4806 0.4801
Pm 0.4806 0.2494 0.9801
Pm 0.5194 0.7506 0.0199
Pm 0.7506 0.5194 0.5199

## Properties
Calculated formation energy, meV per atom: 151


The following is a DFT calculation (PBE) of a geometry-optimized Cd2Ag7Sn2Hg structure.

a = 4.0023 Å, b = 4.0023 Å, c = 16.2071 Å
α = 96.93°, β = 96.93°, γ = 89.95°
Element x y z (fractional)
Cd 0.1409 0.1409 0.2773
Cd 0.8591 0.8591 0.7227
Ag 0.0000 0.0000 0.0000
Ag 0.0726 0.5735 0.1437
Ag 0.2295 0.2295 0.4575
Ag 0.4265 0.9274 0.8563
Ag 0.5735 0.0726 0.1437
Ag 0.7705 0.7705 0.5425
Ag 0.9274 0.4265 0.8563
Sn 0.3155 0.3155 0.6352
Sn 0.6845 0.6845 0.3648
Hg 0.5000 0.5000 0.0000

## Properties
Calculated formation energy, meV per atom: 86


The following is a DFT calculation (PBE) of a geometry-optimized ThScH structure.

a = 3.2316 Å, b = 3.2316 Å, c = 12.0609 Å
α = 90.00°, β = 90.00°, γ = 90.00°
Element x y z (fractional)
Th 0.0000 0.0000 0.0000
Th 0.5000 0.5000 0.5000
Sc 0.0000 0.0000 0.7041
Sc 0.5000 0.5000 0.2041
H 0.0000 0.0000 0.1914
H 0.5000 0.5000 0.6914

## Properties
E_tot, eV per atom: -5.701


The following is a DFT calculation (PBE) of a geometry-optimized Sm3Si2GePt9 structure.

a = 6.4399 Å, b = 6.4399 Å, c = 8.7266 Å
α = 90.00°, β = 90.00°, γ = 120.00°
Element x y z (fractional)
Sm 0.0000 0.0000 0.0000
Sm 0.3333 0.6667 0.7074
Sm 0.6667 0.3333 0.2926
Si 0.3333 0.6667 0.1844
Si 0.6667 0.3333 0.8156
Ge 0.0000 0.0000 0.5000
Pt 0.0000 0.5000 0.0000
Pt 0.1440 0.2881 0.2820
Pt 0.1440 0.8560 0.2820
Pt 0.2881 0.1440 0.7180
Pt 0.5000 0.0000 0.0000
Pt 0.5000 0.5000 0.0000
Pt 0.7119 0.8560 0.2820
Pt 0.8560 0.1440 0.7180
Pt 0.8560 0.7119 0.7180

## Properties
E_tot, eV per atom: -6.339